Entry 1:
A plane-wave DFT calculation with PBE-GGA was carried out for a relaxed LaScZn2Pd2 crystal.

Cell lengths 4.4830, 4.4830, 6.9357 Å; angles 90.00, 90.00, 120.00 degrees
Closest atoms and distances in Å follow each position.
Fractional coordinates of all 6 atoms:
1 La 0.0000 0.0000 0.0000  6 Zn 3.31, 6 Pd 3.32, 2 Sc 3.47
2 Sc 0.0000 0.0000 0.5000  6 Pd 2.94, 6 Zn 2.94
3 Zn 0.3333 0.6667 0.2981  4 Pd 2.59-2.79
4 Zn 0.6667 0.3333 0.7019  4 Pd 2.59-2.79
5 Pd 0.3333 0.6667 0.7008  4 Zn 2.59-2.79
6 Pd 0.6667 0.3333 0.2992  4 Zn 2.59-2.79

Computed properties:
space group	P-3m1
E_form	-0.68	eV/atom
spin magnetization	0.000	μB/atom

Entry 2:
A plane-wave DFT calculation with PBE-GGA was carried out for a relaxed MnBe4Pb crystal.

Cell lengths 4.5527, 4.5527, 4.5527 Å; angles 60.00, 60.00, 60.00 degrees
Closest atoms and distances in Å follow each position.
Fractional coordinates of all 6 atoms:
1 Mn 0.0000 0.0000 0.0000  12 Be 2.66, 4 Pb 2.79
2 Be 0.1126 0.6291 0.6291  6 Be 2.20-2.35
3 Be 0.6291 0.1126 0.6291  6 Be 2.20-2.35
4 Be 0.6291 0.6291 0.1126  6 Be 2.20-2.35
5 Be 0.6291 0.6291 0.6291  6 Be 2.20-2.35
6 Pb 0.2500 0.2500 0.2500  12 Be 2.68, 4 Mn 2.79

Computed properties:
space group	F-43m
E_form	0.37	eV/atom
spin magnetization	0.168	μB/atom

Entry 3:
A plane-wave DFT calculation with PBE-GGA was carried out for a relaxed TaCdTe2 crystal.

Cell lengths 4.4485, 3.9326, 5.9263 Å; angles 90.00, 90.13, 90.00 degrees
Closest atoms and distances in Å follow each position.
Fractional coordinates of all 4 atoms:
1 Ta 0.0000 0.0000 0.0000  6 Te 2.96-2.97
2 Cd 0.5000 0.5000 0.5000  6 Te 2.96-2.97
3 Te 0.0000 0.0000 0.5000  2 Ta 2.96, 4 Cd 2.97
4 Te 0.5000 0.5000 0.0000  2 Cd 2.96, 4 Ta 2.97

Computed properties:
uncorrected formation energy	0.30	eV/atom
space group	P2/m
spin magnetization	0.498	μB/atom

Entry 4:
A plane-wave DFT calculation with PBE-GGA was carried out for a relaxed KYSb2I crystal.

Cell lengths 5.7446, 5.7446, 5.8726 Å; angles 90.00, 90.00, 90.00 degrees
Closest atoms and distances in Å follow each position.
Fractional coordinates of all 5 atoms:
1 K 0.0000 0.0000 0.0000  4 Sb 2.87, 2 I 2.94
2 Y 0.5000 0.5000 0.5000  4 I 4.06, 8 Sb 4.11
3 Sb 0.0000 0.5000 0.0000  2 K 2.87
4 Sb 0.5000 0.0000 0.0000  2 K 2.87
5 I 0.0000 0.0000 0.5000  2 K 2.94

Computed properties:
uncorrected formation energy	0.58	eV/atom
relative energy among the computed polymorphs	1.031	eV/atom
space group	P4/mmm
spin magnetization	0.000	μB/atom

Entry 5:
A plane-wave DFT calculation with PBE-GGA was carried out for a relaxed Tb2CdPb3 crystal.

Cell lengths 8.1037, 8.1037, 4.6908 Å; angles 90.00, 90.00, 147.57 degrees
Closest atoms and distances in Å follow each position.
Fractional coordinates of all 6 atoms:
1 Tb 0.1515 0.8485 0.0000  8 Pb 3.27-3.61, 2 Cd 3.33
2 Tb 0.8485 0.1515 0.0000  8 Pb 3.27-3.61, 2 Cd 3.33
3 Cd 0.0000 0.0000 0.5000  8 Pb 3.26-3.51, 4 Tb 3.33
4 Pb 0.3274 0.6726 0.5000  6 Tb 3.28-3.61, 4 Pb 3.31-3.57, 2 Cd 3.51
5 Pb 0.5000 0.5000 0.0000  4 Cd 3.26, 4 Tb 3.27, 4 Pb 3.57
6 Pb 0.6726 0.3274 0.5000  6 Tb 3.28-3.61, 4 Pb 3.31-3.57, 2 Cd 3.51

Computed properties:
relative energy among the computed polymorphs	0.000	eV/atom
space group	Cmmm
E_form	-0.40	eV/atom
spin magnetization	0.000	μB/atom

Entry 6:
A plane-wave DFT calculation with PBE-GGA was carried out for a relaxed BaH3Pd crystal.

Cell lengths 3.6572, 3.9750, 9.7708 Å; angles 90.00, 90.00, 90.00 degrees
Closest atoms and distances in Å follow each position.
Fractional coordinates of all 10 atoms:
1 Ba 0.0000 0.0000 0.0000  4 H 2.63-2.88
2 Ba 0.0000 0.5000 0.3802  10 H 2.70-2.93
3 H 0.0000 0.0000 0.5794  2 Pd 1.83
4 H 0.0000 0.5000 0.8238  2 Pd 1.85
5 H 0.5000 0.0000 0.3945  1 Pd 1.80
6 H 0.5000 0.0000 0.7719  3 Pd 1.89-2.00
7 H 0.5000 0.5000 0.1463  6 Ba 2.93-3.06, 2 H 3.14
8 H 0.5000 0.5000 0.5931  3 Pd 1.96-1.99
9 Pd 0.5000 0.0000 0.5782  6 H 1.80-1.99
10 Pd 0.5000 0.5000 0.7932  5 H 1.85-2.00

Computed properties:
space group	Pmm2
total energy	-3.715	eV per atom
spin magnetization	0.000	μB/atom

Entry 7:
A plane-wave DFT calculation with PBE-GGA was carried out for a relaxed Ac2PbCl crystal.

Cell lengths 4.6349, 8.0964, 8.6817 Å; angles 109.14, 90.07, 106.61 degrees
Closest atoms and distances in Å follow each position.
Fractional coordinates of all 8 atoms:
1 Ac 0.0000 0.0000 0.0000  3 Cl 3.05-3.33
2 Ac 0.0966 0.1961 0.5361  3 Cl 3.06-3.36, 2 Pb 3.35
3 Ac 0.7240 0.4486 0.9903  2 Cl 3.04-3.39, 2 Pb 3.35
4 Ac 0.8238 0.6507 0.5268  2 Cl 3.01-3.28
5 Pb 0.3166 0.6353 0.8164  1 Pb 3.34, 7 Ac 3.35-3.58
6 Pb 0.5046 0.0108 0.7104  1 Pb 3.34, 7 Ac 3.35-3.56
7 Cl 0.6130 0.2282 0.2670  6 Ac 3.28-3.39
8 Cl 0.9077 0.8212 0.2628  4 Ac 3.01-3.06

Computed properties:
uncorrected formation energy	-0.99	eV/atom
relative energy among the computed polymorphs	0.042	eV/atom
space group	P1
spin magnetization	0.000	μB/atom

- Look up the spin magnetization of the fourth one.
  0.000 μB/atom

- Which of these has the highest spin magnetization?
  TaCdTe2

- Among the records above, which one has the highest spin magnetization?
  TaCdTe2